# GGA-PBE InReS2Cl, relaxed
# Raw formation energy in meV/atom: 1066
# E_tot in eV/atom: -3.99
# Excess energy over the best structure of this formula in the dataset in meV per atom: 1147
data_InReS2Cl
_space_group_name_H-M_alt 'P 4/m m m'
_space_group_IT_number 123
_space_group_name_Hall '-P 4 2'
_cell_length_a 5.048
_cell_length_b 5.048
_cell_length_c 4.940
_cell_angle_alpha 90.00
_cell_angle_beta 90.00
_cell_angle_gamma 90.00
loop_
_atom_site_label
_atom_site_fract_x
_atom_site_fract_y
_atom_site_fract_z
In1 0.000 0.000 0.000
Re1 0.500 0.500 0.500
S1 0.000 0.500 0.000
Cl1 0.000 0.000 0.500

# GGA-PBE MgZnP3, relaxed
# DFT formation energy in eV/atom: 0.725
# E_tot in eV/atom: -3.10
# Excess energy over the best structure of this formula in the dataset in meV per atom: 0
data_MgZnP3
_space_group_name_H-M_alt 'P m -3 m'
_space_group_IT_number 221
_space_group_name_Hall '-P 4 2 3'
_cell_length_a 4.660
_cell_length_b 4.660
_cell_length_c 4.660
_cell_angle_alpha 90.00
_cell_angle_beta 90.00
_cell_angle_gamma 90.00
loop_
_atom_site_label
_atom_site_fract_x
_atom_site_fract_y
_atom_site_fract_z
Mg1 0.000 0.000 0.000
Zn1 0.500 0.500 0.500
P1 0.000 0.500 0.500

# GGA-PBE TbTlZnPt, relaxed
# DFT formation energy in eV/atom: -0.488
# E_tot in eV/atom: -4.07
data_TbTlZnPt
_space_group_name_H-M_alt 'F -4 3 m'
_space_group_IT_number 216
_space_group_name_Hall 'F -4 2 3'
_cell_length_a 6.904
_cell_length_b 6.904
_cell_length_c 6.904
_cell_angle_alpha 90.00
_cell_angle_beta 90.00
_cell_angle_gamma 90.00
loop_
_atom_site_label
_atom_site_fract_x
_atom_site_fract_y
_atom_site_fract_z
Tb1 0.000 0.000 0.000
Tl1 0.000 0.000 0.500
Zn1 0.250 0.250 0.750
Pt1 0.250 0.250 0.250

# GGA-PBE KZr2Tc, relaxed
# DFT formation energy in eV/atom: 0.136
# E_tot in eV/atom: -7.00
# Excess energy over the best structure of this formula in the dataset in meV per atom: 0
data_KZr2Tc
_space_group_name_H-M_alt 'P 4/m m m'
_space_group_IT_number 123
_space_group_name_Hall '-P 4 2'
_cell_length_a 3.285
_cell_length_b 3.285
_cell_length_c 10.225
_cell_angle_alpha 90.00
_cell_angle_beta 90.00
_cell_angle_gamma 90.00
loop_
_atom_site_label
_atom_site_fract_x
_atom_site_fract_y
_atom_site_fract_z
K1 0.000 0.000 0.000
Zr1 0.500 0.500 0.347
Tc1 0.000 0.000 0.500